1.
## Sm2SI (PBE)

Data for a geometry-optimized Sm2SI structure.

abc: 3.992 3.992 8.197
angles: 75.91 75.91 60.00
Fractional coordinates of all 4 atoms:
1 Sm 0.066 0.066 0.803
2 I 0.499 0.499 0.502
3 S 0.667 0.667 0.000
4 Sm 0.269 0.269 0.194

- SG = No. 160
- formation energy without anion corrections (eV/f.u.) = -5.69


2.
## Tm6C2Se3N (PBE)

Data for a geometry-optimized Tm6C2Se3N structure.

abc: 6.359 6.359 6.784
angles: 98.99 98.99 119.98
Fractional coordinates of all 12 atoms:
1 Tm 0.267 0.267 0.799
2 Se 0.500 0.500 0.500
3 Se 0.167 0.833 0.500
4 C 0.667 0.333 0.000
5 Se 0.833 0.167 0.500
6 Tm 0.733 0.733 0.201
7 Tm 0.600 0.933 0.799
8 Tm 0.400 0.067 0.201
9 C 0.333 0.667 0.000
10 N 0.000 0.000 0.000
11 Tm 0.067 0.400 0.201
12 Tm 0.933 0.600 0.799

- SG = No. 12
- formation energy without anion corrections (eV/f.u.) = -16.75


3.
## CaHgRh (PBE)

Data for a geometry-optimized CaHgRh structure.

abc: 4.675 4.675 4.675
angles: 60.00 60.00 60.00
Fractional coordinates of all 3 atoms:
1 Rh 0.750 0.750 0.750
2 Ca 0.000 0.000 0.000
3 Hg 0.500 0.500 0.500

- SG = No. 216
- energy of formation from the pure elements (eV/atom) = -0.2270


Q: Which total moment values were calculated for the entries above? A: 0.00; 0.00; 0.00, in μB per formula unit.